First-principles (GGA-PBE) data for a geometry-optimized Zr3Fe structure, as listed in Alexandria.

The uncorrected energy comes out at -0.3069 Ha/atom.

It has space group P6_3/mmc (No. 194), with a = 6.1816 Å, b = 6.1816 Å, c = 4.8667 Å, α = 90.00°, β = 90.00° and γ = 120.00°. The distinct sites, in fractional coordinates, are Zr at (0.1747, 0.3494, 0.2500) and Fe at (0.3333, 0.6667, 0.7500).

***

First-principles (GGA-PBE) data for a geometry-optimized Zr4Fe structure, as listed in Alexandria.

As for the offset from the most stable computed form: 297.4 meV per atom.

It has space group Pm-3m (No. 221), with a = 4.8492 Å, b = 4.8492 Å, c = 4.8492 Å, α = 90.00°, β = 90.00° and γ = 90.00°. The distinct sites, in fractional coordinates, are Zr at (0.0000, 0.0000, 0.0000), Zr at (0.0000, 0.5000, 0.5000) and Fe at (0.5000, 0.5000, 0.5000).

***

First-principles (GGA-PBE) data for a geometry-optimized ZrFe3 structure, as listed in Alexandria.

The uncorrected energy comes out at -0.3087 Ha/atom.

It has space group Pm-3n (No. 223), with a = 4.8698 Å, b = 4.8698 Å, c = 4.8698 Å, α = 90.00°, β = 90.00° and γ = 90.00°. The distinct sites, in fractional coordinates, are Zr at (0.0000, 0.0000, 0.0000) and Fe at (0.0000, 0.2500, 0.5000).